{"formula": "SrDy3Hg2", "functional": "PBE", "state": "optimized geometry", "delta_e_f_ev_per_atom": -0.3075, "cell": [[5.168, 0.000, 0.000], [0.000, 9.327, 0.000], [0.000, 0.000, 7.437]], "species": ["Sr", "Sr", "Dy", "Dy", "Dy", "Dy", "Dy", "Dy", "Hg", "Hg", "Hg", "Hg"], "frac_coords": [[0.000, 0.062, 0.000], [0.000, 0.938, 0.500], [0.000, 0.332, 0.642], [0.000, 0.668, 0.142], [0.500, 0.182, 0.328], [0.500, 0.439, 0.968], [0.500, 0.561, 0.468], [0.500, 0.818, 0.828], [0.000, 0.356, 0.237], [0.000, 0.644, 0.737], [0.500, 0.155, 0.733], [0.500, 0.845, 0.233]]}

=====

{"formula": "SrDy2Hg3", "functional": "PBE", "state": "optimized geometry", "delta_e_f_ev_per_atom": -0.5005, "cell": [[3.787, 0.000, 0.000], [0.000, 3.787, 0.000], [0.000, 0.000, 11.552]], "species": ["Sr", "Dy", "Dy", "Hg", "Hg", "Hg"], "frac_coords": [[0.000, 0.000, 0.000], [0.000, 0.000, 0.341], [0.000, 0.000, 0.659], [0.500, 0.500, 0.192], [0.500, 0.500, 0.500], [0.500, 0.500, 0.808]]}

=====

{"formula": "Tb2DyHg5", "functional": "PBE", "state": "optimized geometry", "delta_e_f_ev_per_atom": -0.4218, "cell": [[-2.604, 2.604, 7.331], [2.604, -2.604, 7.331], [2.604, 2.604, -7.331]], "species": ["Tb", "Tb", "Dy", "Hg", "Hg", "Hg", "Hg", "Hg"], "frac_coords": [[0.235, 0.235, 0.000], [0.765, 0.765, 0.000], [0.500, 0.500, 0.000], [0.000, 0.000, 0.000], [0.124, 0.624, 0.500], [0.376, 0.876, 0.500], [0.624, 0.124, 0.500], [0.876, 0.376, 0.500]]}

=====

{"formula": "Tb3DyHg5", "functional": "PBE", "state": "optimized geometry", "delta_e_f_ev_per_atom": -0.4105, "cell": [[9.124, 0.000, 0.000], [-4.562, 7.902, 0.000], [0.000, 0.000, 6.514]], "species": ["Tb", "Tb", "Tb", "Tb", "Tb", "Tb", "Dy", "Dy", "Hg", "Hg", "Hg", "Hg", "Hg", "Hg", "Hg", "Hg", "Hg", "Hg"], "frac_coords": [[0.000, 0.370, 0.250], [0.000, 0.630, 0.750], [0.370, 0.000, 0.250], [0.370, 0.370, 0.750], [0.630, 0.000, 0.750], [0.630, 0.630, 0.250], [0.000, 0.000, 0.000], [0.000, 0.000, 0.500], [0.000, 0.297, 0.750], [0.000, 0.703, 0.250], [0.297, 0.000, 0.750], [0.297, 0.297, 0.250], [0.333, 0.667, 0.000], [0.333, 0.667, 0.500], [0.667, 0.333, 0.000], [0.667, 0.333, 0.500], [0.703, 0.000, 0.250], [0.703, 0.703, 0.750]]}

=====

{"formula": "TbDyHg3", "functional": "PBE", "state": "optimized geometry", "delta_e_f_ev_per_atom": -0.3945, "e_above_lowest_polymorph_mev_per_atom": 0.0, "cell": [[1.788, -14.509, 0.000], [1.788, 14.509, 0.000], [0.000, 0.000, 4.904]], "species": ["Tb", "Tb", "Dy", "Dy", "Hg", "Hg", "Hg", "Hg", "Hg", "Hg"], "frac_coords": [[0.076, 0.924, 0.750], [0.924, 0.076, 0.250], [0.211, 0.789, 0.250], [0.789, 0.211, 0.750], [0.319, 0.681, 0.250], [0.378, 0.622, 0.750], [0.476, 0.524, 0.750], [0.524, 0.476, 0.250], [0.622, 0.378, 0.250], [0.681, 0.319, 0.750]]}

=====

{"formula": "Tb2DyHg", "functional": "PBE", "state": "optimized geometry", "delta_e_f_ev_per_atom": -0.2256, "e_above_lowest_polymorph_mev_per_atom": 0.0, "cell": [[3.610, 0.000, 0.000], [0.000, 3.610, 0.000], [0.000, 0.000, 8.925]], "species": ["Tb", "Tb", "Dy", "Hg"], "frac_coords": [[0.000, 0.000, 0.224], [0.000, 0.000, 0.776], [0.500, 0.500, 0.500], [0.500, 0.500, 0.000]]}

=====

{"formula": "Tb5DyHg6", "functional": "PBE", "state": "optimized geometry", "delta_e_f_ev_per_atom": -0.4802, "cell": [[2.635, -7.925, 0.000], [2.635, 7.925, 0.000], [0.000, 0.000, 7.489]], "species": ["Tb", "Tb", "Tb", "Tb", "Tb", "Dy", "Hg", "Hg", "Hg", "Hg", "Hg", "Hg"], "frac_coords": [[0.000, 0.000, 0.000], [0.333, 0.667, 0.000], [0.334, 0.666, 0.500], [0.666, 0.334, 0.500], [0.667, 0.333, 0.000], [0.000, 0.000, 0.500], [0.166, 0.834, 0.251], [0.166, 0.834, 0.749], [0.500, 0.500, 0.251], [0.500, 0.500, 0.749], [0.834, 0.166, 0.251], [0.834, 0.166, 0.749]]}

=====

{"formula": "Tb3DyHg2", "functional": "PBE", "state": "optimized geometry", "delta_e_f_ev_per_atom": -0.3581, "e_above_lowest_polymorph_mev_per_atom": 0.0, "cell": [[5.138, 0.000, 0.000], [0.000, 9.278, 0.000], [0.000, 0.000, 7.059]], "species": ["Tb", "Tb", "Tb", "Tb", "Tb", "Tb", "Dy", "Dy", "Hg", "Hg", "Hg", "Hg"], "frac_coords": [[0.000, 0.055, 0.000], [0.000, 0.326, 0.343], [0.000, 0.674, 0.843], [0.000, 0.945, 0.500], [0.500, 0.175, 0.686], [0.500, 0.825, 0.186], [0.500, 0.445, 0.030], [0.500, 0.555, 0.530], [0.000, 0.350, 0.779], [0.000, 0.650, 0.279], [0.500, 0.150, 0.251], [0.500, 0.850, 0.751]]}

=====

{"formula": "TbDyHg4", "functional": "PBE", "state": "optimized geometry", "delta_e_f_ev_per_atom": -0.3990, "e_above_lowest_polymorph_mev_per_atom": 0.0, "cell": [[5.209, 0.000, 0.000], [0.000, 1.962, 7.309], [0.000, -1.962, 7.309]], "species": ["Tb", "Dy", "Hg", "Hg", "Hg", "Hg"], "frac_coords": [[0.000, 0.000, 0.000], [0.500, 0.791, 0.791], [0.000, 0.331, 0.331], [0.000, 0.666, 0.666], [0.500, 0.126, 0.126], [0.500, 0.459, 0.459]]}

=====

{"formula": "TbDyHg4", "functional": "PBE", "state": "optimized geometry", "delta_e_f_ev_per_atom": -0.3444, "e_above_lowest_polymorph_mev_per_atom": 54.5, "cell": [[5.918, -1.816, 0.000], [5.918, 1.816, 0.000], [-2.247, 0.000, 6.952]], "species": ["Tb", "Dy", "Hg", "Hg", "Hg", "Hg"], "frac_coords": [[0.000, 0.000, 0.000], [0.000, 0.000, 0.500], [0.332, 0.332, 0.167], [0.332, 0.332, 0.665], [0.668, 0.668, 0.335], [0.668, 0.668, 0.833]]}

=====

{"formula": "Tb6Dy2Hg", "functional": "PBE", "state": "optimized geometry", "delta_e_f_ev_per_atom": 0.0334, "cell": [[4.660, -8.657, 0.000], [4.660, 8.657, 0.000], [0.000, 0.000, 3.550]], "species": ["Tb", "Tb", "Tb", "Tb", "Tb", "Tb", "Dy", "Dy", "Hg"], "frac_coords": [[0.014, 0.338, 0.000], [0.295, 0.295, 0.500], [0.338, 0.014, 0.000], [0.662, 0.986, 0.000], [0.705, 0.705, 0.500], [0.986, 0.662, 0.000], [0.319, 0.681, 0.500], [0.681, 0.319, 0.500], [0.000, 0.000, 0.000]]}

=====

{"formula": "TbDy2Hg", "functional": "PBE", "state": "optimized geometry", "delta_e_f_ev_per_atom": -0.1567, "e_above_lowest_polymorph_mev_per_atom": 71.9, "cell": [[1.821, 1.051, 10.464], [-1.821, 1.051, 10.464], [0.000, -2.103, 10.464]], "species": ["Tb", "Dy", "Dy", "Hg"], "frac_coords": [[0.000, 0.000, 0.000], [0.243, 0.243, 0.243], [0.424, 0.424, 0.424], [0.834, 0.834, 0.834]]}

=====

{"formula": "TbDy3Hg12", "functional": "PBE", "state": "optimized geometry", "delta_e_f_ev_per_atom": -0.3170, "cell": [[4.518, 0.000, 0.000], [0.000, 4.518, 0.000], [0.000, 0.000, 19.220]], "species": ["Tb", "Dy", "Dy", "Dy", "Hg", "Hg", "Hg", "Hg", "Hg", "Hg", "Hg", "Hg", "Hg", "Hg", "Hg", "Hg"], "frac_coords": [[0.000, 0.000, 0.000], [0.000, 0.000, 0.250], [0.000, 0.000, 0.500], [0.000, 0.000, 0.750], [0.000, 0.500, 0.125], [0.000, 0.500, 0.375], [0.000, 0.500, 0.625], [0.000, 0.500, 0.875], [0.500, 0.000, 0.125], [0.500, 0.000, 0.375], [0.500, 0.000, 0.625], [0.500, 0.000, 0.875], [0.500, 0.500, 0.000], [0.500, 0.500, 0.250], [0.500, 0.500, 0.500], [0.500, 0.500, 0.750]]}

=====

{"formula": "Tb3Dy2Hg2", "functional": "PBE", "state": "optimized geometry", "delta_e_f_ev_per_atom": -0.1826, "e_above_lowest_polymorph_mev_per_atom": 61.2, "cell": [[1.787, -16.043, 0.000], [1.787, 16.043, 0.000], [0.000, 0.000, 3.558]], "species": ["Tb", "Tb", "Tb", "Dy", "Dy", "Hg", "Hg"], "frac_coords": [[0.000, 0.000, 0.000], [0.127, 0.873, 0.000], [0.873, 0.127, 0.000], [0.296, 0.704, 0.500], [0.704, 0.296, 0.500], [0.437, 0.563, 0.500], [0.563, 0.437, 0.500]]}

=====

{"formula": "TbDy3Hg2", "functional": "PBE", "state": "optimized geometry", "delta_e_f_ev_per_atom": -0.3601, "e_above_lowest_polymorph_mev_per_atom": 0.0, "cell": [[5.113, 0.000, 0.000], [0.000, 9.241, 0.000], [0.000, 0.000, 7.076]], "species": ["Tb", "Tb", "Dy", "Dy", "Dy", "Dy", "Dy", "Dy", "Hg", "Hg", "Hg", "Hg"], "frac_coords": [[0.000, 0.055, 0.000], [0.000, 0.945, 0.500], [0.000, 0.326, 0.655], [0.000, 0.674, 0.155], [0.500, 0.175, 0.315], [0.500, 0.444, 0.969], [0.500, 0.556, 0.469], [0.500, 0.825, 0.815], [0.000, 0.351, 0.223], [0.000, 0.649, 0.723], [0.500, 0.149, 0.747], [0.500, 0.851, 0.247]]}

=====

{"formula": "Tb5DyHg2", "functional": "PBE", "state": "optimized geometry", "delta_e_f_ev_per_atom": -0.1560, "cell": [[-1.837, 5.180, 6.152], [1.837, -5.180, 6.152], [1.837, 5.180, -6.152]], "species": ["Tb", "Tb", "Tb", "Tb", "Tb", "Dy", "Hg", "Hg"], "frac_coords": [[0.000, 0.000, 0.000], [0.086, 0.363, 0.723], [0.360, 0.637, 0.723], [0.640, 0.363, 0.277], [0.914, 0.637, 0.277], [0.500, 0.000, 0.500], [0.268, 0.268, 0.000], [0.732, 0.732, 0.000]]}

=====

{"formula": "TbDy5Hg3", "functional": "PBE", "state": "optimized geometry", "delta_e_f_ev_per_atom": -0.3093, "cell": [[9.080, 0.000, 0.000], [-4.540, 7.864, 0.000], [0.000, 0.000, 6.937]], "species": ["Tb", "Tb", "Dy", "Dy", "Dy", "Dy", "Dy", "Dy", "Dy", "Dy", "Dy", "Dy", "Hg", "Hg", "Hg", "Hg", "Hg", "Hg"], "frac_coords": [[0.000, 0.000, 0.000], [0.000, 0.000, 0.500], [0.000, 0.333, 0.250], [0.000, 0.667, 0.750], [0.333, 0.000, 0.250], [0.333, 0.333, 0.750], [0.333, 0.667, 0.000], [0.333, 0.667, 0.500], [0.667, 0.000, 0.750], [0.667, 0.333, 0.000], [0.667, 0.333, 0.500], [0.667, 0.667, 0.250], [0.000, 0.334, 0.750], [0.000, 0.666, 0.250], [0.334, 0.000, 0.750], [0.334, 0.334, 0.250], [0.666, 0.000, 0.250], [0.666, 0.666, 0.750]]}

=====

{"formula": "Tb2Dy2Hg", "functional": "PBE", "state": "optimized geometry", "delta_e_f_ev_per_atom": -0.1775, "e_above_lowest_polymorph_mev_per_atom": 0.0, "cell": [[-1.788, 1.788, 11.518], [1.788, -1.788, 11.518], [1.788, 1.788, -11.518]], "species": ["Tb", "Tb", "Dy", "Dy", "Hg"], "frac_coords": [[0.196, 0.196, 0.000], [0.804, 0.804, 0.000], [0.413, 0.413, 0.000], [0.587, 0.587, 0.000], [0.000, 0.000, 0.000]]}

=====

{"formula": "TbDy2Hg5", "functional": "PBE", "state": "optimized geometry", "delta_e_f_ev_per_atom": -0.4252, "cell": [[-2.603, 2.603, 7.311], [2.603, -2.603, 7.311], [2.603, 2.603, -7.311]], "species": ["Tb", "Dy", "Dy", "Hg", "Hg", "Hg", "Hg", "Hg"], "frac_coords": [[0.000, 0.000, 0.000], [0.265, 0.265, 0.000], [0.735, 0.735, 0.000], [0.125, 0.625, 0.500], [0.375, 0.875, 0.500], [0.500, 0.500, 0.000], [0.625, 0.125, 0.500], [0.875, 0.375, 0.500]]}

=====

{"formula": "Tb3DyHg", "functional": "PBE", "state": "optimized geometry", "delta_e_f_ev_per_atom": -0.1150, "cell": [[5.600, -3.699, 0.000], [5.600, 3.699, 0.000], [-2.785, 0.000, 7.407]], "species": ["Tb", "Tb", "Tb", "Tb", "Tb", "Tb", "Dy", "Dy", "Hg", "Hg"], "frac_coords": [[0.061, 0.061, 0.240], [0.090, 0.590, 0.358], [0.410, 0.910, 0.642], [0.590, 0.090, 0.358], [0.910, 0.410, 0.642], [0.939, 0.939, 0.760], [0.439, 0.439, 0.759], [0.561, 0.561, 0.241], [0.252, 0.252, 0.000], [0.748, 0.748, 0.000]]}